## w
An optimized crystal structure of Ti4Cu2C, computed with PBE-GGA.

Computed properties:
SG = Fd-3m, No. 227
spin magnetization = 3.29 μB per cell
D(E_F) = 1.06 states/eV per atom
crystal system = cubic
ρ = 5.70 g/cm³

```
28
Lattice="-0.5108 1.3392 8.0406 1.1556 -6.1521 5.2461 6.7362 -0.2224 4.6130" Properties=species:S:1:pos:R:3 pbc="T T T"
Cu 6.1471 -4.1935 14.9073
Ti 4.0353 -0.0710 8.5643
Ti 0.7418 -2.0904 6.0461
Cu 5.7642 -2.1554 13.1693
Ti 6.3697 -4.9772 9.5297
C 1.5004 -3.7055 4.8605
Cu 6.3163 -4.6372 12.2435
C 0.9226 -0.6294 2.2375
Ti 2.9487 -0.4273 2.9037
Cu 3.0792 -2.1006 7.4674
Cu 5.3108 -2.1743 8.9956
Ti 4.8685 -3.8167 7.1670
C 0.6673 0.0402 6.2578
Ti 5.6328 -1.0540 6.1842
C 4.2907 -0.7406 4.5440
Ti 2.7636 0.0579 5.8168
Cu 3.9154 -4.1198 13.3790
Ti 3.3673 -2.6561 4.8043
Ti 1.2450 -3.0359 8.8808
Ti 4.6131 -3.1471 11.1873
Ti 1.0113 -0.0581 8.3700
Ti 2.0740 -4.8354 6.5880
Cu 2.9100 -1.6570 10.1311
Ti 0.9269 -2.5756 3.1331
Cu 3.4620 -4.1388 9.2053
Ti 1.7482 -3.9813 11.7155
Ti 5.3071 -0.1999 11.3117
Ti 0.3232 0.1385 4.1455
```

---

## x
An optimized crystal structure of Ti4Cu2C, computed with PBE-GGA.

Computed properties:
SG = I4/mmm, No. 139
spin magnetization = 0.00 μB per cell
D(E_F) = 0.32 states/eV per atom
crystal system = tetragonal
ρ = 5.25 g/cm³

```
7
Lattice="4.1393 0.0000 0.0000 0.0000 4.1393 0.0000 2.0697 2.0697 6.0978" Properties=species:S:1:pos:R:3 pbc="T T T"
Cu 2.0697 2.0697 1.5525
Ti 2.0697 2.0697 3.9565
C 0.0000 0.0000 0.0000
Ti 2.0697 0.0000 0.0000
Ti 4.1393 4.1393 2.1414
Ti 0.0000 2.0697 0.0000
Cu 4.1393 4.1393 4.5453
```

---

Most stable one: w, least stable one: x.

---

## w
An optimized crystal structure of TiCuC3, computed with PBE-GGA.

Computed properties:
SG = Pm-3m, No. 221
spin magnetization = 0.00 μB per cell
D(E_F) = 0.66 states/eV per atom
crystal system = cubic
ρ = 4.59 g/cm³

```
5
Lattice="3.7631 0.0000 0.0000 0.0000 3.7631 0.0000 0.0000 0.0000 3.7631" Properties=species:S:1:pos:R:3 pbc="T T T"
Ti 1.8816 1.8816 1.8816
C 0.0000 0.0000 1.8816
C 1.8816 0.0000 0.0000
C 0.0000 1.8816 0.0000
Cu 0.0000 0.0000 0.0000
```

---

## x
An optimized crystal structure of TiCuC3, computed with PBE-GGA.

Computed properties:
SG = Pm-3m, No. 221
spin magnetization = 0.00 μB per cell
D(E_F) = 0.53 states/eV per atom
crystal system = cubic
ρ = 3.78 g/cm³

```
5
Lattice="-1.7645 2.2518 -2.8200 -1.2568 -3.3260 -1.8694 -3.3828 0.0611 2.1655" Properties=species:S:1:pos:R:3 pbc="T T T"
Cu -3.2021 -0.5065 -1.2619
C -0.8823 1.1259 -1.4100
C -0.6284 -1.6630 -0.9347
Ti 0.0000 0.0000 0.0000
C -1.6914 0.0306 1.0828
```

---

Most stable one: x, least stable one: w.

---

## w
An optimized crystal structure of TiCu3C, computed with PBE-GGA.

Computed properties:
SG = Pm-3m, No. 221
spin magnetization = 1.33 μB per cell
D(E_F) = 0.81 states/eV per atom
crystal system = cubic
ρ = 6.90 g/cm³

```
5
Lattice="3.9204 0.0000 0.0000 0.0000 3.9204 0.0000 0.0000 0.0000 3.9204" Properties=species:S:1:pos:R:3 pbc="T T T"
Cu 1.9602 0.0000 0.0000
Cu 0.0000 0.0000 1.9602
Cu 0.0000 1.9602 0.0000
C 0.0000 0.0000 0.0000
Ti 1.9602 1.9602 1.9602
```

---

## x
An optimized crystal structure of TiCu3C, computed with PBE-GGA.

Computed properties:
SG = Pm-3m, No. 221
spin magnetization = 2.12 μB per cell
D(E_F) = 0.95 states/eV per atom
crystal system = cubic
ρ = 4.28 g/cm³

```
5
Lattice="-1.8673 0.0210 -4.2012 2.6154 -3.5921 -1.1805 -3.2878 -2.8694 1.4470" Properties=species:S:1:pos:R:3 pbc="T T T"
Cu -0.9336 0.0105 -2.1006
Cu -1.6439 -1.4347 0.7235
Cu 1.3077 -1.7960 -0.5902
Ti 0.0000 0.0000 0.0000
C -1.2698 -3.2202 -1.9673
```

---

Most stable one: w, least stable one: x.